1.
A geometry-optimized CoGeIr structure. Source: Alexandria, functional PBE.

The structure in POSCAR format:
```
CoGeIr
1.0
4.083 0.000 0.000
-2.041 3.536 0.000
0.000 0.000 2.810
Co Ge Ir
1 1 1
Direct
0.000 0.000 0.000
0.333 0.667 0.823
0.667 0.333 0.488
```

Output
- Formation energy from the elements: -0.01 eV/atom
- Total DFT energy (no corrections): -6.871 eV per atom


2.
A geometry-optimized CoGeIr2 structure. Source: Alexandria, functional PBE.

The structure in POSCAR format:
```
CoGeIr2
1.0
-2.603 2.603 5.819
2.603 -2.603 5.819
2.603 2.603 -5.819
Co Ge Ir
2 2 4
Direct
0.000 0.000 0.000
0.750 0.250 0.500
0.250 0.750 0.500
0.500 0.500 0.000
0.104 0.625 0.979
0.375 0.354 0.479
0.646 0.125 0.021
0.875 0.896 0.521
```

Output
- Formation energy from the elements: 0.71 eV/atom
- Total DFT energy (no corrections): -6.649 eV per atom


3.
A geometry-optimized Co3GeIr structure. Source: Alexandria, functional PBE.

The structure in POSCAR format:
```
Co3GeIr
1.0
4.236 0.000 0.000
0.000 4.236 0.000
0.000 0.000 4.236
Co Ge Ir
3 1 1
Direct
0.000 0.000 0.500
0.000 0.500 0.000
0.500 0.000 0.000
0.000 0.000 0.000
0.500 0.500 0.500
```

Output
- Formation energy from the elements: 1.13 eV/atom
- Total DFT energy (no corrections): -5.831 eV per atom


4.
A geometry-optimized Co3Ge6Ir structure. Source: Alexandria, functional PBE.

The structure in POSCAR format:
```
Co3Ge6Ir
1.0
6.451 0.000 0.000
0.000 5.940 0.000
-6.159 0.000 7.963
Co Ge Ir
6 12 2
Direct
0.000 0.000 0.000
0.000 0.500 0.500
0.264 0.170 0.744
0.264 0.330 0.244
0.736 0.670 0.756
0.736 0.830 0.256
0.049 0.511 0.744
0.049 0.989 0.244
0.210 0.650 0.071
0.210 0.850 0.571
0.413 0.131 0.077
0.413 0.369 0.577
0.587 0.631 0.423
0.587 0.869 0.923
0.790 0.150 0.429
0.790 0.350 0.929
0.951 0.011 0.756
0.951 0.489 0.256
0.500 0.000 0.500
0.500 0.500 0.000
```

Output
- Formation energy from the elements: -0.10 eV/atom
- Total DFT energy (no corrections): -5.891 eV per atom
- Distance to the lowest polymorph of the same formula: 11 meV/atom


5.
A geometry-optimized Co3GeIr structure. Source: Alexandria, functional PBE.

The structure in POSCAR format:
```
Co3GeIr
1.0
4.560 0.000 0.000
0.000 4.560 0.000
0.000 0.000 4.560
Co Ge Ir
3 1 1
Direct
0.000 0.000 0.500
0.000 0.500 0.000
0.500 0.000 0.000
0.500 0.500 0.500
0.000 0.000 0.000
```

Output
- Formation energy from the elements: 1.30 eV/atom
- Total DFT energy (no corrections): -5.658 eV per atom


6.
A geometry-optimized CoGe3Ir structure. Source: Alexandria, functional PBE.

The structure in POSCAR format:
```
CoGe3Ir
1.0
4.429 0.000 0.000
0.000 4.429 0.000
0.000 0.000 4.429
Co Ge Ir
1 3 1
Direct
0.000 0.000 0.000
0.000 0.000 0.500
0.000 0.500 0.000
0.500 0.000 0.000
0.500 0.500 0.500
```

Output
- Formation energy from the elements: 0.53 eV/atom
- Total DFT energy (no corrections): -5.438 eV per atom
- Distance to the lowest polymorph of the same formula: 644 meV/atom


7.
A geometry-optimized CoGe4Ir2 structure. Source: Alexandria, functional PBE.

The structure in POSCAR format:
```
CoGe4Ir2
1.0
12.811 0.000 0.000
0.000 2.887 0.000
0.000 0.000 12.295
Co Ge Ir
4 16 8
Direct
0.119 0.250 0.090
0.381 0.750 0.590
0.619 0.250 0.410
0.881 0.750 0.910
0.034 0.250 0.900
0.035 0.750 0.615
0.190 0.750 0.231
0.224 0.750 0.977
0.276 0.250 0.477
0.310 0.250 0.731
0.465 0.250 0.115
0.466 0.750 0.400
0.534 0.250 0.600
0.535 0.750 0.885
0.690 0.750 0.269
0.724 0.750 0.523
0.776 0.250 0.023
0.810 0.250 0.769
0.965 0.250 0.385
0.966 0.750 0.100
0.123 0.750 0.423
0.150 0.750 0.778
0.350 0.250 0.278
0.377 0.250 0.923
0.623 0.750 0.077
0.650 0.750 0.722
0.850 0.250 0.222
0.877 0.250 0.577
```

Output
- Formation energy from the elements: -0.11 eV/atom
- Total DFT energy (no corrections): -6.293 eV per atom
- Distance to the lowest polymorph of the same formula: 138 meV/atom


8.
A geometry-optimized Co2GeIr structure. Source: Alexandria, functional PBE.

The structure in POSCAR format:
```
Co2GeIr
1.0
3.660 0.000 0.000
0.000 3.660 0.000
0.000 0.000 3.717
Co Ge Ir
2 1 1
Direct
0.000 0.500 0.000
0.500 0.000 0.000
0.000 0.000 0.500
0.500 0.500 0.500
```

Output
- Formation energy from the elements: -0.03 eV/atom
- Total DFT energy (no corrections): -6.948 eV per atom


9.
A geometry-optimized CoGe4Ir2 structure. Source: Alexandria, functional PBE.

The structure in POSCAR format:
```
CoGe4Ir2
1.0
5.929 -1.779 0.000
5.929 1.779 0.000
-2.622 0.000 5.569
Co Ge Ir
1 4 2
Direct
0.000 0.000 0.000
0.151 0.151 0.842
0.412 0.412 0.722
0.588 0.588 0.278
0.849 0.849 0.158
0.254 0.254 0.307
0.746 0.746 0.693
```

Output
- Formation energy from the elements: -0.25 eV/atom
- Total DFT energy (no corrections): -6.431 eV per atom
- Distance to the lowest polymorph of the same formula: 0 meV/atom


10.
A geometry-optimized Co2GeIr structure. Source: Alexandria, functional PBE.

The structure in POSCAR format:
```
Co2GeIr
1.0
-1.790 1.790 8.759
1.790 -1.790 8.759
1.790 1.790 -8.759
Co Ge Ir
4 2 2
Direct
0.102 0.625 0.977
0.375 0.352 0.477
0.648 0.125 0.023
0.875 0.898 0.523
0.000 0.000 0.000
0.750 0.250 0.500
0.250 0.750 0.500
0.500 0.500 0.000
```

Output
- Formation energy from the elements: 0.33 eV/atom
- Total DFT energy (no corrections): -6.595 eV per atom


11.
A geometry-optimized CoGeIr2 structure. Source: Alexandria, functional PBE.

The structure in POSCAR format:
```
CoGeIr2
1.0
3.892 0.000 0.000
0.000 3.892 0.000
0.000 0.000 3.588
Co Ge Ir
1 1 2
Direct
0.000 0.000 0.000
0.500 0.500 0.000
0.000 0.500 0.500
0.500 0.000 0.500
```

Output
- Formation energy from the elements: -0.01 eV/atom
- Total DFT energy (no corrections): -7.368 eV per atom


12.
A geometry-optimized CoGeIr3 structure. Source: Alexandria, functional PBE.

The structure in POSCAR format:
```
CoGeIr3
1.0
4.524 0.000 0.000
0.000 4.524 0.000
0.000 0.000 4.524
Co Ge Ir
1 1 3
Direct
0.000 0.000 0.000
0.500 0.500 0.500
0.000 0.500 0.500
0.500 0.000 0.500
0.500 0.500 0.000
```

Output
- Formation energy from the elements: 1.41 eV/atom
- Total DFT energy (no corrections): -6.252 eV per atom
- Distance to the lowest polymorph of the same formula: 57 meV/atom